This record from Alexandria describes a relaxed CoSnHg2Rh crystal. The functional is PBE.

The structure in POSCAR format:
```
CoSnHg2Rh
1.0
5.3807 0.0000 0.0000
0.0000 5.3807 0.0000
0.0000 0.0000 4.7568
Co Sn Hg Rh
1 1 2 1
direct
0.0000 0.0000 0.0000
0.0000 0.0000 0.5000
0.0000 0.5000 0.5000
0.5000 0.0000 0.5000
0.5000 0.5000 0.0000
```

Computed properties:
Energy of formation from the pure elements   1301.5 meV/atom
ρ   8.220 g/cm³
SG   P4/mmm (123)